! NaIn2Au2 PBE relaxed; values from VASP
! - polymorph energy (0 for the lowest one) (eV per atom) = 0.082
! - space group = I4/mmm (139)
! - energy of formation from the pure elements (eV per atom) = -0.204
! - theoretical density (g cm⁻³) = 8.222
! - total magnetization (μB/cell) = 0.0
&SYSTEM
  ibrav = 0, nat = 5, ntyp = 3
/
ATOMIC_SPECIES
Na 22.99 Na.upf
Au 196.97 Au.upf
In 114.82 In.upf
ATOMIC_POSITIONS angstrom
Na 0.000 0.000 0.000
Au -2.026 0.370 5.932
Au 1.625 0.608 6.035
In -0.121 0.154 3.929
In -0.280 0.824 8.038
CELL_PARAMETERS angstrom
-3.670 -1.443 3.354
3.632 -0.966 3.560
-0.363 3.386 5.054

=====

! Na3InAu PBE relaxed; values from VASP
! - polymorph energy (0 for the lowest one) (eV per atom) = 0.201
! - space group = Pm-3m (221)
! - energy of formation from the pure elements (eV per atom) = 0.012
! - theoretical density (g cm⁻³) = 3.723
! - total magnetization (μB/cell) = 0.0
&SYSTEM
  ibrav = 0, nat = 5, ntyp = 3
/
ATOMIC_SPECIES
Na 22.99 Na.upf
Au 196.97 Au.upf
In 114.82 In.upf
ATOMIC_POSITIONS angstrom
Na 1.497 -0.412 2.292
Na -1.696 1.674 1.409
Na -1.596 -2.166 0.653
Au 0.000 0.000 0.000
In -1.795 -0.904 4.354
CELL_PARAMETERS angstrom
-3.192 -4.333 1.306
2.994 -0.824 4.585
-3.393 3.349 2.818

=====

! Na8InAu2 PBE relaxed; values from VASP
! - polymorph energy (0 for the lowest one) (eV per atom) = 0.000
! - space group = P1 (1)
! - energy of formation from the pure elements (eV per atom) = -0.160
! - theoretical density (g cm⁻³) = 3.724
! - total magnetization (μB/cell) = 0.0
&SYSTEM
  ibrav = 0, nat = 11, ntyp = 3
/
ATOMIC_SPECIES
Na 22.99 Na.upf
In 114.82 In.upf
Au 196.97 Au.upf
ATOMIC_POSITIONS angstrom
Na 3.035 1.811 6.790
Na 4.875 0.216 3.743
Na 1.201 2.348 0.920
Na 2.898 6.144 -2.664
Na 0.868 5.553 -0.041
Na 4.318 3.094 2.078
Na 0.291 3.447 6.857
Na 1.996 4.883 3.665
In -0.224 6.380 5.606
Au 3.468 3.956 -0.670
Au 2.093 1.887 3.914
CELL_PARAMETERS angstrom
5.108 0.032 -1.559
-0.935 6.405 -2.765
-0.037 0.183 9.357

=====

! NaIn2Au9 PBE relaxed; values from VASP
! - polymorph energy (0 for the lowest one) (eV per atom) = 0.000
! - space group = R-3m (166)
! - energy of formation from the pure elements (eV per atom) = -0.127
! - theoretical density (g cm⁻³) = 13.294
! - total magnetization (μB/cell) = 0.0
&SYSTEM
  ibrav = 0, nat = 12, ntyp = 3
/
ATOMIC_SPECIES
Na 22.99 Na.upf
In 114.82 In.upf
Au 196.97 Au.upf
ATOMIC_POSITIONS angstrom
Na 0.000 0.000 0.000
In 6.759 4.133 6.882
In 1.118 0.684 6.108
Au 5.234 3.201 2.141
Au 2.643 1.616 10.849
Au 3.938 2.408 6.495
Au 3.253 1.989 3.805
Au 5.983 1.989 4.618
Au 4.497 4.419 4.618
Au 4.624 2.827 9.184
Au 3.380 0.397 8.372
Au 1.894 2.827 8.372
CELL_PARAMETERS angstrom
5.394 0.000 1.605
2.458 4.801 1.605
0.025 0.015 9.779

=====

! NaIn8Au6 PBE relaxed; values from VASP
! - space group = R-3 (148)
! - energy of formation from the pure elements (eV per atom) = -0.203
! - theoretical density (g cm⁻³) = 9.815
! - total magnetization (μB/cell) = 0.0
&SYSTEM
  ibrav = 0, nat = 15, ntyp = 3
/
ATOMIC_SPECIES
Na 22.99 Na.upf
In 114.82 In.upf
Au 196.97 Au.upf
ATOMIC_POSITIONS angstrom
Na 0.000 0.000 0.000
In 2.830 3.971 9.465
In 2.527 5.355 6.251
In 3.343 0.876 7.886
In 6.212 4.617 9.546
In 3.098 2.303 4.761
In 5.967 6.044 6.421
In 6.783 1.565 8.056
In 6.480 2.949 4.842
Au 1.470 2.880 7.199
Au 4.016 6.343 8.482
Au 4.827 2.017 10.048
Au 4.484 4.903 4.259
Au 5.294 0.577 5.825
Au 7.841 4.040 7.108
CELL_PARAMETERS angstrom
7.034 0.108 3.275
2.131 6.705 3.275
0.145 0.108 7.758

=====

! Na3In4Au2 PBE relaxed; values from VASP
! - polymorph energy (0 for the lowest one) (eV per atom) = 0.016
! - space group = C2/m (12)
! - energy of formation from the pure elements (eV per atom) = -0.249
! - theoretical density (g cm⁻³) = 7.007
! - total magnetization (μB/cell) = 0.0
&SYSTEM
  ibrav = 0, nat = 9, ntyp = 3
/
ATOMIC_SPECIES
Na 22.99 Na.upf
In 114.82 In.upf
Au 196.97 Au.upf
ATOMIC_POSITIONS angstrom
Na 0.000 3.685 5.660
Na 0.000 0.000 0.000
Na 2.396 -0.467 2.520
In 2.396 1.994 0.533
In 0.000 0.390 4.525
In 2.396 2.828 3.656
In 0.000 1.225 7.648
Au 0.000 2.115 2.196
Au 2.396 1.104 5.985
CELL_PARAMETERS angstrom
4.791 0.000 0.000
-2.396 5.587 0.030
0.000 -2.369 8.151

=====

! NaIn2Au2 PBE relaxed; values from VASP
! - polymorph energy (0 for the lowest one) (eV per atom) = 0.077
! - space group = P4/mbm (127)
! - energy of formation from the pure elements (eV per atom) = -0.209
! - theoretical density (g cm⁻³) = 9.504
! - total magnetization (μB/cell) = 0.0
&SYSTEM
  ibrav = 0, nat = 10, ntyp = 3
/
ATOMIC_SPECIES
Na 22.99 Na.upf
Au 196.97 Au.upf
In 114.82 In.upf
ATOMIC_POSITIONS angstrom
Na 0.000 0.000 0.000
Na 4.133 4.133 0.000
Au 1.403 5.537 1.653
Au 5.537 6.864 1.653
Au 6.864 2.730 1.653
Au 2.730 1.403 1.653
In 3.041 7.174 0.000
In 7.174 5.226 0.000
In 5.226 1.093 0.000
In 1.093 3.041 0.000
CELL_PARAMETERS angstrom
8.267 0.000 0.000
0.000 8.267 0.000
0.000 0.000 3.306

=====

! NaInAu6 PBE relaxed; values from VASP
! - polymorph energy (0 for the lowest one) (eV per atom) = 0.000
! - space group = Amm2 (38)
! - energy of formation from the pure elements (eV per atom) = -0.177
! - theoretical density (g cm⁻³) = 14.699
! - total magnetization (μB/cell) = 0.0
&SYSTEM
  ibrav = 0, nat = 8, ntyp = 3
/
ATOMIC_SPECIES
Na 22.99 Na.upf
In 114.82 In.upf
Au 196.97 Au.upf
ATOMIC_POSITIONS angstrom
Na 2.466 2.057 2.287
In 0.000 0.261 5.177
Au 0.000 0.347 2.225
Au 0.000 2.870 3.794
Au 0.000 2.965 0.826
Au 2.466 2.159 -0.665
Au 2.466 4.659 0.889
Au 2.466 4.755 -2.053
CELL_PARAMETERS angstrom
4.931 0.000 0.000
0.000 5.210 -2.785
0.000 -0.191 5.904

=====

! Na2In3Au4 PBE relaxed; values from VASP
! - space group = Cmce (64)
! - energy of formation from the pure elements (eV per atom) = -0.292
! - theoretical density (g cm⁻³) = 9.479
! - total magnetization (μB/cell) = 0.0
&SYSTEM
  ibrav = 0, nat = 18, ntyp = 3
/
ATOMIC_SPECIES
Na 22.99 Na.upf
In 114.82 In.upf
Au 196.97 Au.upf
ATOMIC_POSITIONS angstrom
Na 0.000 4.502 1.554
Na 3.189 2.976 7.101
Na 0.000 0.763 7.101
Na 3.189 6.715 1.554
In 0.000 0.000 0.000
In 3.189 3.739 0.000
In 1.595 5.608 4.390
In 4.784 1.869 4.265
In 1.595 1.869 4.265
In -1.595 5.608 4.390
Au 1.595 5.608 7.330
Au 4.784 1.869 1.325
Au 1.595 1.869 1.325
Au -1.595 5.608 7.330
Au 0.000 7.358 2.859
Au 3.189 0.119 5.796
Au 0.000 3.620 5.796
Au 3.189 3.858 2.859
CELL_PARAMETERS angstrom
6.379 0.000 0.000
0.000 7.478 0.000
-3.189 0.000 8.655

=====

! Na8In2Au PBE relaxed; values from VASP
! - space group = C2/m (12)
! - energy of formation from the pure elements (eV per atom) = -0.111
! - theoretical density (g cm⁻³) = 3.230
! - total magnetization (μB/cell) = 0.0
&SYSTEM
  ibrav = 0, nat = 11, ntyp = 3
/
ATOMIC_SPECIES
Na 22.99 Na.upf
In 114.82 In.upf
Au 196.97 Au.upf
ATOMIC_POSITIONS angstrom
Na -4.542 -6.386 -1.317
Na -3.264 -1.008 -2.195
Na -5.550 -3.277 -2.089
Na -5.523 -6.523 -4.756
Na 0.115 -4.484 -3.751
Na -2.170 -6.754 -3.645
Na -0.893 -1.376 -4.523
Na 0.088 -1.239 -1.084
In -3.251 -3.716 -4.412
In -2.184 -4.046 -1.427
Au -1.488 1.417 -1.740
CELL_PARAMETERS angstrom
-2.976 2.834 -3.479
2.859 -2.896 -4.804
-5.318 -7.699 2.443

=====

! Na3InAu PBE relaxed; values from VASP
! - polymorph energy (0 for the lowest one) (eV per atom) = 0.000
! - space group = P2_1/m (11)
! - energy of formation from the pure elements (eV per atom) = -0.188
! - theoretical density (g cm⁻³) = 4.922
! - total magnetization (μB/cell) = 0.0
&SYSTEM
  ibrav = 0, nat = 10, ntyp = 3
/
ATOMIC_SPECIES
Na 22.99 Na.upf
In 114.82 In.upf
Au 196.97 Au.upf
ATOMIC_POSITIONS angstrom
Na 3.065 5.879 4.657
Na 3.065 -0.068 0.776
Na 0.611 3.371 4.937
Na 0.611 1.930 0.437
Na 0.611 0.365 3.756
Na 3.065 3.755 7.074
In 3.065 2.804 2.851
In 0.611 5.005 2.243
Au 3.065 1.360 5.296
Au 0.611 5.766 6.715
CELL_PARAMETERS angstrom
4.909 0.000 0.000
0.000 7.511 0.562
0.000 -0.683 6.917

=====

! NaIn3Au PBE relaxed; values from VASP
! - polymorph energy (0 for the lowest one) (eV per atom) = 0.235
! - space group = Pm-3m (221)
! - energy of formation from the pure elements (eV per atom) = 0.046
! - theoretical density (g cm⁻³) = 5.842
! - total magnetization (μB/cell) = 0.0
&SYSTEM
  ibrav = 0, nat = 5, ntyp = 3
/
ATOMIC_SPECIES
Na 22.99 Na.upf
Au 196.97 Au.upf
In 114.82 In.upf
ATOMIC_POSITIONS angstrom
Na -0.539 2.653 3.849
Au 0.000 0.000 0.000
In 0.863 -0.657 2.491
In 0.980 2.513 0.323
In -2.382 0.796 1.035
CELL_PARAMETERS angstrom
-4.765 1.592 2.070
1.726 -1.313 4.982
1.960 5.027 0.646

=====

Please write out number 8 again, unchanged.
! NaInAu6 PBE relaxed; values from VASP
! - polymorph energy (0 for the lowest one) (eV per atom) = 0.000
! - space group = Amm2 (38)
! - energy of formation from the pure elements (eV per atom) = -0.177
! - theoretical density (g cm⁻³) = 14.699
! - total magnetization (μB/cell) = 0.0
&SYSTEM
  ibrav = 0, nat = 8, ntyp = 3
/
ATOMIC_SPECIES
Na 22.99 Na.upf
In 114.82 In.upf
Au 196.97 Au.upf
ATOMIC_POSITIONS angstrom
Na 2.466 2.057 2.287
In 0.000 0.261 5.177
Au 0.000 0.347 2.225
Au 0.000 2.870 3.794
Au 0.000 2.965 0.826
Au 2.466 2.159 -0.665
Au 2.466 4.659 0.889
Au 2.466 4.755 -2.053
CELL_PARAMETERS angstrom
4.931 0.000 0.000
0.000 5.210 -2.785
0.000 -0.191 5.904